Entry P
A plane-wave DFT calculation with PBE-GGA was carried out for a relaxed Tb4DySc3 crystal.

Cell: 10.940 7.043 6.077 Å, 90.00 90.00 90.00°
Fractional coordinates of all 16 atoms:
Tb  0.000  0.132  0.000
Tb  0.000  0.868  0.490
Tb  0.245  0.868  0.837
Tb  0.255  0.132  0.337
Tb  0.500  0.132  0.990
Tb  0.500  0.868  0.500
Tb  0.745  0.132  0.337
Tb  0.755  0.868  0.837
Dy  0.000  0.382  0.505
Dy  0.500  0.618  0.005
Sc  0.000  0.618  0.004
Sc  0.249  0.382  0.833
Sc  0.251  0.618  0.333
Sc  0.500  0.382  0.504
Sc  0.749  0.618  0.333
Sc  0.751  0.382  0.833

Computed properties:
As for the space group: Pmn2_1, No. 31. The total moment is 0.000 μB/cell. The density of states at the Fermi level is 1.874 states/eV per atom.

---

Entry Q
A plane-wave DFT calculation with PBE-GGA was carried out for a relaxed Tb4DySc3 crystal.

Cell: 8.246 8.246 5.834 Å, 110.03 110.03 39.35°
Fractional coordinates of all 8 atoms:
Tb  0.129  0.129  0.074
Tb  0.252  0.252  0.690
Tb  0.748  0.748  0.310
Tb  0.871  0.871  0.926
Dy  0.000  0.000  0.500
Sc  0.372  0.372  0.319
Sc  0.500  0.500  0.000
Sc  0.628  0.628  0.681

Computed properties:
As for the space group: C2/m, No. 12. The total moment is 0.000 μB/cell. The density of states at the Fermi level is 1.981 states/eV per atom.

---

Relative energy of each structure, in eV/atom: entry P 0.000; entry Q 0.091.

---

Entry P
A plane-wave DFT calculation with PBE-GGA was carried out for a relaxed TbDySc4 crystal.

Cell: 8.902 8.902 10.856 Å, 90.00 90.00 158.11°
Fractional coordinates of all 12 atoms:
Tb  0.163  0.837  0.500
Tb  0.837  0.163  0.000
Dy  0.280  0.720  0.257
Dy  0.720  0.280  0.757
Sc  0.052  0.948  0.757
Sc  0.163  0.837  0.010
Sc  0.393  0.607  0.751
Sc  0.497  0.503  0.506
Sc  0.503  0.497  0.006
Sc  0.607  0.393  0.251
Sc  0.837  0.163  0.510
Sc  0.948  0.052  0.257

Computed properties:
As for the space group: Cmc2_1, No. 36. The total moment is 0.000 μB/cell. The density of states at the Fermi level is 1.631 states/eV per atom.

---

Entry Q
A plane-wave DFT calculation with PBE-GGA was carried out for a relaxed TbDySc4 crystal.

Cell: 9.780 9.780 5.310 Å, 90.00 90.00 140.89°
Fractional coordinates of all 12 atoms:
Tb  0.125  0.875  0.750
Tb  0.875  0.125  0.250
Dy  0.375  0.625  0.250
Dy  0.625  0.375  0.750
Sc  0.042  0.459  0.750
Sc  0.209  0.292  0.749
Sc  0.292  0.209  0.249
Sc  0.459  0.042  0.250
Sc  0.541  0.958  0.750
Sc  0.708  0.791  0.751
Sc  0.791  0.708  0.251
Sc  0.958  0.541  0.250

Computed properties:
As for the space group: C2/c, No. 15. The total moment is 0.007 μB/cell. The density of states at the Fermi level is 1.979 states/eV per atom.

---

Relative energy of each structure, in eV/atom: entry P 0.000; entry Q 0.026.

---

Entry P
A plane-wave DFT calculation with PBE-GGA was carried out for a relaxed Tb3Dy2Sc2 crystal.

Cell: 6.300 10.456 6.421 Å, 90.00 92.20 90.00°
Fractional coordinates of all 14 atoms:
Tb  0.000  0.000  0.000
Tb  0.000  0.500  0.500
Tb  0.256  0.059  0.523
Tb  0.256  0.441  0.023
Tb  0.744  0.559  0.977
Tb  0.744  0.941  0.477
Dy  0.143  0.742  0.748
Dy  0.143  0.758  0.248
Dy  0.857  0.242  0.752
Dy  0.857  0.258  0.252
Sc  0.449  0.146  0.024
Sc  0.449  0.354  0.524
Sc  0.551  0.646  0.476
Sc  0.551  0.854  0.976

Computed properties:
As for the space group: P2_1/c, No. 14. The total moment is 0.000 μB/cell. The density of states at the Fermi level is 1.575 states/eV per atom.

---

Entry Q
A plane-wave DFT calculation with PBE-GGA was carried out for a relaxed Tb3Dy2Sc2 crystal.

Cell: 11.941 11.941 3.437 Å, 90.00 90.00 154.86°
Fractional coordinates of all 7 atoms:
Tb  0.000  0.000  0.000
Tb  0.156  0.844  0.000
Tb  0.844  0.156  0.000
Dy  0.425  0.575  0.500
Dy  0.575  0.425  0.500
Sc  0.284  0.716  0.500
Sc  0.716  0.284  0.500

Computed properties:
As for the space group: Cmmm, No. 65. The total moment is 0.000 μB/cell. The density of states at the Fermi level is 1.550 states/eV per atom.

---

Relative energy of each structure, in eV/atom: entry P 0.178; entry Q 0.000.

---

Entry P
A plane-wave DFT calculation with PBE-GGA was carried out for a relaxed Tb2DySc2 crystal.

Cell: 7.871 7.871 7.871 Å, 138.18 88.34 106.49°
Fractional coordinates of all 10 atoms:
Tb  0.238  0.161  0.076
Tb  0.415  0.839  0.576
Tb  0.585  0.161  0.424
Tb  0.762  0.839  0.924
Dy  0.105  0.855  0.250
Dy  0.895  0.145  0.750
Sc  0.061  0.447  0.614
Sc  0.333  0.447  0.886
Sc  0.667  0.553  0.114
Sc  0.939  0.553  0.386

Computed properties:
As for the space group: Imma, No. 74. The total moment is 0.000 μB/cell. The density of states at the Fermi level is 1.599 states/eV per atom.

---

Entry Q
A plane-wave DFT calculation with PBE-GGA was carried out for a relaxed Tb2DySc2 crystal.

Cell: 14.020 6.921 5.997 Å, 90.00 98.15 90.00°
Fractional coordinates of all 20 atoms:
Tb  0.099  0.124  0.119
Tb  0.099  0.376  0.619
Tb  0.304  0.627  0.855
Tb  0.304  0.873  0.355
Tb  0.696  0.127  0.645
Tb  0.696  0.373  0.145
Tb  0.901  0.624  0.381
Tb  0.901  0.876  0.881
Dy  0.304  0.124  0.850
Dy  0.304  0.376  0.350
Dy  0.696  0.624  0.650
Dy  0.696  0.876  0.150
Sc  0.099  0.626  0.114
Sc  0.099  0.874  0.614
Sc  0.500  0.125  0.250
Sc  0.500  0.375  0.750
Sc  0.500  0.625  0.250
Sc  0.500  0.875  0.750
Sc  0.901  0.126  0.386
Sc  0.901  0.374  0.886

Computed properties:
As for the space group: P2_1/c, No. 14. The total moment is 0.000 μB/cell. The density of states at the Fermi level is 1.549 states/eV per atom.

---

Relative energy of each structure, in eV/atom: entry P 0.140; entry Q 0.000.